# Tb3Sm3Tm8 GGA-PBE optimized geometry
# energy of formation: 0.114 eV/atom
# SG: No. 71
# calculated total energy: -62.22 eV per cell
data_Tb3Sm3Tm8
_cell_length_a 5.589
_cell_length_b 9.600
_cell_length_c 9.600
_cell_angle_alpha 102.11
_cell_angle_beta 73.07
_cell_angle_gamma 73.07
_space_group_name_H-M_alt 'P 1'
_space_group_IT_number 1
_space_group_name_Hall 'P 1'
loop_
_atom_site_label
_atom_site_type_symbol
_atom_site_fract_x
_atom_site_fract_y
_atom_site_fract_z
Tb1 Tb 0.500 0.500 0.500
Tb2 Tb 0.797 0.203 0.203
Tb3 Tb 0.203 0.797 0.797
Sm1 Sm 0.500 0.000 0.000
Sm2 Sm 0.000 0.816 0.184
Sm3 Sm 0.000 0.184 0.816
Tm1 Tm 0.661 0.119 0.560
Tm2 Tm 0.339 0.881 0.440
Tm3 Tm 0.661 0.560 0.119
Tm4 Tm 0.339 0.440 0.881
Tm5 Tm 0.842 0.761 0.555
Tm6 Tm 0.158 0.239 0.445
Tm7 Tm 0.842 0.555 0.761
Tm8 Tm 0.158 0.445 0.239